# PrNd2Y7

Crystalline PrNd2Y7 at its relaxed geometry (GGA-PBE, the Alexandria database).

Computed properties:
- Magnetization: 0.000 μB per formula unit
- E above lowest polymorph: 282.6 meV per atom
- E: -5.28 eV per atom
- DOS at the Fermi energy: 1.48 states/eV/atom
- E_form: 657 kJ/mol of formula units

```
data_PrNd2Y7
_chemical_formula_sum 'Pr2 Nd4 Y14'
_symmetry_space_group_name_H-M 'C m m m'
_symmetry_Int_Tables_number 65
_symmetry_space_group_name_Hall '-C 2 2'
_cell_length_a 8.7623
_cell_length_b 16.4519
_cell_length_c 5.5685
_cell_angle_alpha 90.00
_cell_angle_beta 90.00
_cell_angle_gamma 90.00
loop_
_atom_site_label
_atom_site_fract_x
_atom_site_fract_y
_atom_site_fract_z
Pr1 0.0000 0.0000 0.0000
Nd1 0.0000 0.2975 0.5000
Y1 0.0000 0.2174 0.0000
Y2 0.0000 0.5000 0.5000
Y3 0.1776 0.1140 0.5000
```

# PrNd4Y7

Crystalline PrNd4Y7 at its relaxed geometry (GGA-PBE, the Alexandria database).

Computed properties:
- Magnetization: 0.000 μB per formula unit
- E above lowest polymorph: 240.4 meV per atom
- E: -5.50 eV per atom
- DOS at the Fermi energy: 1.76 states/eV/atom
- E_form: 295 kJ/mol of formula units

```
data_PrNd4Y7
_chemical_formula_sum 'Pr2 Nd8 Y14'
_symmetry_space_group_name_H-M 'C 1 2/m 1'
_symmetry_Int_Tables_number 12
_cell_length_a 12.2544
_cell_length_b 5.9588
_cell_length_c 12.8985
_cell_angle_alpha 90.00
_cell_angle_beta 117.39
_cell_angle_gamma 90.00
loop_
_symmetry_equiv_pos_as_xyz
'x,y,z'
'-x,-y,-z'
'-x,y,-z'
'x,-y,z'
'x+1/2,y+1/2,z'
'-x+1/2,-y+1/2,-z'
'-x+1/2,y+1/2,-z'
'x+1/2,-y+1/2,z'
loop_
_atom_site_label
_atom_site_fract_x
_atom_site_fract_y
_atom_site_fract_z
Pr1 0.0000 0.0000 0.0000
Nd1 0.1369 0.5000 0.7764
Nd2 0.2262 0.0000 0.6686
Y1 0.0000 0.5000 0.0000
Y2 0.0679 0.0000 0.3163
Y3 0.1329 0.5000 0.4969
Y4 0.2102 0.0000 0.9226
```

- The lowest DOS at the Fermi energy belongs to which entry?
  PrNd2Y7

- Number 1 is which compound?
  PrNd2Y7

- Which value of E_form does entry 2 give?
  295 kJ/mol of formula units